No. 1
DFT (GGA-PBE) results for crystalline TcSIN2 at its relaxed geometry.

Summary:
For the size of the total moment, the calculation gives 0.00 μB/f.u. The value obtained for the total energy is -5.743 eV per atom. The calculation puts the distance to the lowest polymorph of the same formula at 0.00 eV per formula unit. For the theoretical density, the calculation gives 5.71 Mg/m³. Its space-group type is P4/mmm. As for the density of states at the Fermi level: 3.58 states/eV per cell. As for the uncorrected formation energy: 0.7958 eV/atom.

```
TcSIN2
1.0
3.8853 0.0000 0.0000
0.0000 3.8853 0.0000
0.0000 0.0000 5.4857
Tc S I N
1 1 1 2
Cartesian
0.0000 0.0000 0.0000
0.0000 0.0000 2.7428
1.9426 1.9426 2.7428
0.0000 1.9426 0.0000
1.9426 0.0000 0.0000
```

***

No. 2
DFT (GGA-PBE) results for crystalline TcSIN2 at its relaxed geometry.

Summary:
For the size of the total moment, the calculation gives 4.27 μB/f.u. The value obtained for the total energy is -4.392 eV per atom. The calculation puts the distance to the lowest polymorph of the same formula at 6.76 eV per formula unit. For the theoretical density, the calculation gives 5.04 Mg/m³. Its space-group type is P4/mmm. As for the density of states at the Fermi level: 2.75 states/eV per cell. As for the uncorrected formation energy: 2.1472 eV/atom.

```
TcSIN2
1.0
3.8883 0.0000 0.0000
0.0000 3.8883 0.0000
0.0000 0.0000 6.2152
Tc S I N
1 1 1 2
Cartesian
0.0000 0.0000 0.0000
1.9442 1.9442 0.0000
1.9442 1.9442 3.1076
0.0000 1.9442 3.1076
1.9442 0.0000 3.1076
```

***

No. 3
DFT (GGA-PBE) results for crystalline TcSIN2 at its relaxed geometry.

Summary:
For the size of the total moment, the calculation gives 0.00 μB/f.u. The value obtained for the total energy is -5.674 eV per atom. The calculation puts the distance to the lowest polymorph of the same formula at 0.34 eV per formula unit. For the theoretical density, the calculation gives 5.33 Mg/m³. Its space-group type is P4/mmm. As for the density of states at the Fermi level: 3.01 states/eV per cell. As for the uncorrected formation energy: 0.8646 eV/atom.

```
TcSIN2
1.0
3.8516 0.0000 0.0000
0.0000 3.8516 0.0000
0.0000 0.0000 5.9813
Tc S I N
1 1 1 2
Cartesian
0.0000 0.0000 0.0000
1.9258 1.9258 2.9906
0.0000 0.0000 2.9906
0.0000 1.9258 0.0000
1.9258 0.0000 0.0000
```

***

No. 4
DFT (GGA-PBE) results for crystalline TcS2IN at its relaxed geometry.

Summary:
For the size of the total moment, the calculation gives 0.00 μB/f.u. The value obtained for the total energy is -5.252 eV per atom. The calculation puts the distance to the lowest polymorph of the same formula at 0.00 eV per formula unit. For the theoretical density, the calculation gives 5.58 Mg/m³. Its space-group type is P4/mmm. As for the density of states at the Fermi level: 2.60 states/eV per cell. As for the uncorrected formation energy: 0.4474 eV/atom.

```
TcS2IN
1.0
4.8847 0.0000 0.0000
0.0000 4.8847 0.0000
0.0000 0.0000 3.7767
Tc S I N
1 2 1 1
Cartesian
0.0000 0.0000 0.0000
0.0000 2.4424 0.0000
2.4424 0.0000 0.0000
2.4424 2.4424 1.8884
0.0000 0.0000 1.8884
```

***

No. 5
DFT (GGA-PBE) results for crystalline TcS2IN at its relaxed geometry.

Summary:
For the size of the total moment, the calculation gives 4.92 μB/f.u. The value obtained for the total energy is -3.934 eV per atom. The calculation puts the distance to the lowest polymorph of the same formula at 6.59 eV per formula unit. For the theoretical density, the calculation gives 4.74 Mg/m³. Its space-group type is P4/mmm. As for the density of states at the Fermi level: 1.99 states/eV per cell. As for the uncorrected formation energy: 1.7653 eV/atom.

```
TcS2IN
1.0
5.1989 0.0000 0.0000
0.0000 5.1989 0.0000
0.0000 0.0000 3.9318
Tc S I N
1 2 1 1
Cartesian
0.0000 0.0000 0.0000
0.0000 2.5994 1.9659
2.5994 0.0000 1.9659
2.5994 2.5994 1.9659
2.5994 2.5994 0.0000
```

***

No. 6
DFT (GGA-PBE) results for crystalline TeSI2N at its relaxed geometry.

Summary:
For the size of the total moment, the calculation gives 0.00 μB/f.u. The value obtained for the total energy is -2.532 eV per atom. The calculation puts the distance to the lowest polymorph of the same formula at 1.77 eV per formula unit. For the theoretical density, the calculation gives 5.97 Mg/m³. Its space-group type is P4/mmm. As for the density of states at the Fermi level: 4.70 states/eV per cell. As for the uncorrected formation energy: 1.2069 eV/atom.

```
TeSI2N
1.0
4.7761 0.0000 0.0000
0.0000 4.7761 0.0000
0.0000 0.0000 5.2118
Te S I N
1 1 2 1
Cartesian
0.0000 0.0000 0.0000
2.3880 2.3880 0.0000
0.0000 2.3880 2.6059
2.3880 0.0000 2.6059
0.0000 0.0000 2.6059
```